(1)
# MnIn2Fe, relaxed, DFT PBE
data_MnIn2Fe
_space_group_name_H-M_alt 'I -4 m 2'
_space_group_IT_number 119
_space_group_name_Hall 'I -4 -2'
_cell_length_a 3.9742
_cell_length_b 3.9742
_cell_length_c 8.6774
_cell_angle_alpha 90.00
_cell_angle_beta 90.00
_cell_angle_gamma 90.00
loop_
_atom_site_label
_atom_site_type_symbol
_atom_site_fract_x
_atom_site_fract_y
_atom_site_fract_z
Mn1 Mn 0.0000 0.0000 0.0000
In1 In 0.0000 0.0000 0.5000
In2 In 0.0000 0.5000 0.2500
Fe1 Fe 0.0000 0.5000 0.7500
# Formation energy from the elements   1.1 eV/f.u.

=====

(2)
# NbAg2B, relaxed, DFT PBE
data_NbAg2B
_space_group_name_H-M_alt 'I -4 2 d'
_space_group_IT_number 122
_space_group_name_Hall 'I -4 2bw'
_cell_length_a 7.3525
_cell_length_b 7.3525
_cell_length_c 4.7612
_cell_angle_alpha 90.00
_cell_angle_beta 90.00
_cell_angle_gamma 90.00
loop_
_atom_site_label
_atom_site_type_symbol
_atom_site_fract_x
_atom_site_fract_y
_atom_site_fract_z
Nb1 Nb 0.0000 0.0000 0.0000
Ag1 Ag 0.1604 0.2500 0.6250
B1 B 0.0000 0.0000 0.5000
# Formation energy from the elements   2.9 eV/f.u.

=====

(3)
# BiAu2Br, relaxed, DFT PBE
data_BiAu2Br
_space_group_name_H-M_alt 'F m -3 m'
_space_group_IT_number 225
_space_group_name_Hall '-F 4 2 3'
_cell_length_a 7.2421
_cell_length_b 7.2421
_cell_length_c 7.2421
_cell_angle_alpha 90.00
_cell_angle_beta 90.00
_cell_angle_gamma 90.00
loop_
_atom_site_label
_atom_site_type_symbol
_atom_site_fract_x
_atom_site_fract_y
_atom_site_fract_z
Bi1 Bi 0.0000 0.0000 0.0000
Au1 Au 0.2500 0.2500 0.2500
Br1 Br 0.0000 0.0000 0.5000
# Energy above the most stable polymorph in this dataset   216 meV/atom
# Energy relative to the elements, uncorrected   0.332 eV/atom

=====

(4)
# Hg3I, relaxed, DFT PBE
data_Hg3I
_space_group_name_H-M_alt 'P 1'
_space_group_IT_number 1
_cell_length_a 7.0426
_cell_length_b 7.1422
_cell_length_c 7.2519
_cell_angle_alpha 61.37
_cell_angle_beta 70.32
_cell_angle_gamma 64.37
loop_
_space_group_symop_operation_xyz
'x,y,z'
loop_
_atom_site_label
_atom_site_type_symbol
_atom_site_fract_x
_atom_site_fract_y
_atom_site_fract_z
Hg1 Hg 0.0000 0.0000 0.0000
Hg2 Hg 0.0513 0.5892 0.8870
Hg3 Hg 0.2842 0.8098 0.5152
Hg4 Hg 0.3546 0.5161 0.2340
Hg5 Hg 0.6215 0.9225 0.2212
Hg6 Hg 0.7007 0.5195 0.7752
I1 I 0.3906 0.1038 0.7858
I2 I 0.9036 0.3036 0.3249
# Energy above the most stable polymorph in this dataset   13 meV/atom
# Energy relative to the elements, uncorrected   -0.091 eV/atom

=====

(5)
# BaTl2Re, relaxed, DFT PBE
data_BaTl2Re
_space_group_name_H-M_alt 'C 1 2/m 1'
_space_group_IT_number 12
_cell_length_a 8.1584
_cell_length_b 4.7455
_cell_length_c 6.8152
_cell_angle_alpha 90.00
_cell_angle_beta 113.96
_cell_angle_gamma 90.00
loop_
_space_group_symop_operation_xyz
'x,y,z'
'-x,-y,-z'
'-x,y,-z'
'x,-y,z'
'x+1/2,y+1/2,z'
'-x+1/2,-y+1/2,-z'
'-x+1/2,y+1/2,-z'
'x+1/2,-y+1/2,z'
loop_
_atom_site_label
_atom_site_type_symbol
_atom_site_fract_x
_atom_site_fract_y
_atom_site_fract_z
Ba1 Ba 0.0000 0.0000 0.0000
Tl1 Tl 0.2145 0.0000 0.6428
Re1 Re 0.0000 0.5000 0.5000
# Energy above the most stable polymorph in this dataset   32 meV/atom
# Formation energy from the elements   2.4 eV/f.u.

=====

(6)
# HoAsPd6, relaxed, DFT PBE
data_HoAsPd6
_space_group_name_H-M_alt 'R -3 m'
_space_group_IT_number 166
_space_group_name_Hall '-R 3 2"'
_cell_length_a 9.1471
_cell_length_b 9.1471
_cell_length_c 5.7153
_cell_angle_alpha 90.00
_cell_angle_beta 90.00
_cell_angle_gamma 120.00
loop_
_atom_site_label
_atom_site_type_symbol
_atom_site_fract_x
_atom_site_fract_y
_atom_site_fract_z
Ho1 Ho 0.0000 0.0000 0.0000
As1 As 0.0000 0.0000 0.5000
Pd1 Pd 0.0202 0.5101 0.2644
# Formation energy from the elements   -3.0 eV/f.u.

=====

(7)
# Cu2Pt, relaxed, DFT PBE
data_Cu2Pt
_space_group_name_H-M_alt 'C 1 m 1'
_space_group_IT_number 8
_cell_length_a 9.3266
_cell_length_b 5.3728
_cell_length_c 7.9089
_cell_angle_alpha 90.00
_cell_angle_beta 125.67
_cell_angle_gamma 90.00
loop_
_space_group_symop_operation_xyz
'x,y,z'
'x,-y,z'
'x+1/2,y+1/2,z'
'x+1/2,-y+1/2,z'
loop_
_atom_site_label
_atom_site_type_symbol
_atom_site_fract_x
_atom_site_fract_y
_atom_site_fract_z
Cu1 Cu 0.0000 0.0000 0.0000
Cu2 Cu 0.9996 0.5000 0.0038
Cu3 Cu 0.2399 0.2500 0.3216
Cu4 Cu 0.2430 0.2435 0.9986
Cu5 Cu 0.4900 0.0000 0.3205
Cu6 Cu 0.4964 0.5000 0.6654
Pt1 Pt 0.2498 0.2509 0.6681
Pt2 Pt 0.4836 0.5000 0.3161
Pt3 Pt 0.4973 0.0000 0.6636
# Energy above the most stable polymorph in this dataset   33 meV/atom
# Formation energy from the elements   -0.3 eV/f.u.

=====

(8)
# PmHoOsPt, relaxed, DFT PBE
data_PmHoOsPt
_space_group_name_H-M_alt 'F -4 3 m'
_space_group_IT_number 216
_space_group_name_Hall 'F -4 2 3'
_cell_length_a 6.9686
_cell_length_b 6.9686
_cell_length_c 6.9686
_cell_angle_alpha 90.00
_cell_angle_beta 90.00
_cell_angle_gamma 90.00
loop_
_atom_site_label
_atom_site_type_symbol
_atom_site_fract_x
_atom_site_fract_y
_atom_site_fract_z
Pm1 Pm 0.0000 0.0000 0.0000
Ho1 Ho 0.0000 0.0000 0.5000
Os1 Os 0.2500 0.2500 0.7500
Pt1 Pt 0.2500 0.2500 0.2500
# Formation energy from the elements   -2.3 eV/f.u.

=====

(9)
# Tb3Nd4Er8, relaxed, DFT PBE
data_Tb3Nd4Er8
_space_group_name_H-M_alt 'C 1 2/m 1'
_space_group_IT_number 12
_cell_length_a 13.3821
_cell_length_b 12.8329
_cell_length_c 6.7352
_cell_angle_alpha 90.00
_cell_angle_beta 120.06
_cell_angle_gamma 90.00
loop_
_space_group_symop_operation_xyz
'x,y,z'
'-x,-y,-z'
'-x,y,-z'
'x,-y,z'
'x+1/2,y+1/2,z'
'-x+1/2,-y+1/2,-z'
'-x+1/2,y+1/2,-z'
'x+1/2,-y+1/2,z'
loop_
_atom_site_label
_atom_site_type_symbol
_atom_site_fract_x
_atom_site_fract_y
_atom_site_fract_z
Tb1 Tb 0.0000 0.0000 0.0000
Tb2 Tb 0.2500 0.2500 0.5000
Nd1 Nd 0.0000 0.5000 0.0000
Nd2 Nd 0.0000 0.5000 0.5000
Nd3 Nd 0.2500 0.2500 0.0000
Er1 Er 0.0000 0.1373 0.5000
Er2 Er 0.0000 0.2444 0.0000
Er3 Er 0.2302 0.0000 0.9657
Er4 Er 0.2320 0.0000 0.4888
# Formation energy from the elements   5.5 eV/f.u.

=====

(10)
# BaNa2AgF, relaxed, DFT PBE
data_BaNa2AgF
_space_group_name_H-M_alt 'P 4/m m m'
_space_group_IT_number 123
_space_group_name_Hall '-P 4 2'
_cell_length_a 4.9020
_cell_length_b 4.9020
_cell_length_c 5.5600
_cell_angle_alpha 90.00
_cell_angle_beta 90.00
_cell_angle_gamma 90.00
loop_
_atom_site_label
_atom_site_type_symbol
_atom_site_fract_x
_atom_site_fract_y
_atom_site_fract_z
Ba1 Ba 0.0000 0.0000 0.0000
Na1 Na 0.0000 0.5000 0.5000
Ag1 Ag 0.5000 0.5000 0.0000
F1 F 0.0000 0.0000 0.5000
# Energy relative to the elements, uncorrected   -1.069 eV/atom

=====

(11)
# Sr2LiSnO, relaxed, DFT PBE
data_Sr2LiSnO
_space_group_name_H-M_alt 'P 4/m m m'
_space_group_IT_number 123
_space_group_name_Hall '-P 4 2'
_cell_length_a 5.4140
_cell_length_b 5.4140
_cell_length_c 4.0852
_cell_angle_alpha 90.00
_cell_angle_beta 90.00
_cell_angle_gamma 90.00
loop_
_atom_site_label
_atom_site_type_symbol
_atom_site_fract_x
_atom_site_fract_y
_atom_site_fract_z
Sr1 Sr 0.0000 0.5000 0.0000
Li1 Li 0.0000 0.0000 0.5000
Sn1 Sn 0.5000 0.5000 0.5000
O1 O 0.0000 0.0000 0.0000
# Energy relative to the elements, uncorrected   -1.339 eV/atom

=====

(12)
# InPtAu2, relaxed, DFT PBE
data_InPtAu2
_space_group_name_H-M_alt 'C 1 2/m 1'
_space_group_IT_number 12
_cell_length_a 5.6996
_cell_length_b 10.1415
_cell_length_c 2.9977
_cell_angle_alpha 90.00
_cell_angle_beta 121.68
_cell_angle_gamma 90.00
loop_
_space_group_symop_operation_xyz
'x,y,z'
'-x,-y,-z'
'-x,y,-z'
'x,-y,z'
'x+1/2,y+1/2,z'
'-x+1/2,-y+1/2,-z'
'-x+1/2,y+1/2,-z'
'x+1/2,-y+1/2,z'
loop_
_atom_site_label
_atom_site_type_symbol
_atom_site_fract_x
_atom_site_fract_y
_atom_site_fract_z
In1 In 0.0000 0.0000 0.0000
Pt1 Pt 0.0000 0.5000 0.0000
Au1 Au 0.2500 0.2500 0.0000
# Formation energy from the elements   -0.6 eV/f.u.

=====

(13)
# Sc2TcH6, relaxed, DFT PBE
data_Sc2TcH6
_space_group_name_H-M_alt 'F m -3 m'
_space_group_IT_number 225
_space_group_name_Hall '-F 4 2 3'
_cell_length_a 6.6937
_cell_length_b 6.6937
_cell_length_c 6.6937
_cell_angle_alpha 90.00
_cell_angle_beta 90.00
_cell_angle_gamma 90.00
loop_
_atom_site_label
_atom_site_type_symbol
_atom_site_fract_x
_atom_site_fract_y
_atom_site_fract_z
Sc1 Sc 0.2500 0.2500 0.2500
Tc1 Tc 0.0000 0.0000 0.0000
H1 H 0.0000 0.0000 0.2625
# E   -5.31 eV per atom

=====

(14)
# CaPr6Dy12, relaxed, DFT PBE
data_CaPr6Dy12
_space_group_name_H-M_alt 'R -3 m'
_space_group_IT_number 166
_space_group_name_Hall '-R 3 2"'
_cell_length_a 15.0402
_cell_length_b 15.0402
_cell_length_c 10.6602
_cell_angle_alpha 90.00
_cell_angle_beta 90.00
_cell_angle_gamma 120.00
loop_
_atom_site_label
_atom_site_type_symbol
_atom_site_fract_x
_atom_site_fract_y
_atom_site_fract_z
Ca1 Ca 0.0000 0.0000 0.0000
Pr1 Pr 0.0733 0.5367 0.2221
Dy1 Dy 0.0000 0.3878 0.5000
Dy2 Dy 0.0798 0.1595 0.2545
# Formation energy from the elements   8.5 eV/f.u.

=====

(15)
# BP2Rh, relaxed, DFT PBE
data_BP2Rh
_space_group_name_H-M_alt 'I -4 2 d'
_space_group_IT_number 122
_space_group_name_Hall 'I -4 2bw'
_cell_length_a 5.0894
_cell_length_b 5.0894
_cell_length_c 8.9164
_cell_angle_alpha 90.00
_cell_angle_beta 90.00
_cell_angle_gamma 90.00
loop_
_atom_site_label
_atom_site_type_symbol
_atom_site_fract_x
_atom_site_fract_y
_atom_site_fract_z
B1 B 0.0000 0.0000 0.0000
P1 P 0.1964 0.2500 0.1250
Rh1 Rh 0.0000 0.0000 0.5000
# Formation energy from the elements   -1.0 eV/f.u.

=====

(16)
# BaSc2Si, relaxed, DFT PBE
data_BaSc2Si
_space_group_name_H-M_alt 'I -4 m 2'
_space_group_IT_number 119
_space_group_name_Hall 'I -4 -2'
_cell_length_a 4.5560
_cell_length_b 4.5560
_cell_length_c 9.6167
_cell_angle_alpha 90.00
_cell_angle_beta 90.00
_cell_angle_gamma 90.00
loop_
_atom_site_label
_atom_site_type_symbol
_atom_site_fract_x
_atom_site_fract_y
_atom_site_fract_z
Ba1 Ba 0.0000 0.0000 0.0000
Sc1 Sc 0.0000 0.0000 0.5000
Sc2 Sc 0.0000 0.5000 0.7500
Si1 Si 0.0000 0.5000 0.2500
# Energy relative to the elements, uncorrected   0.152 eV/atom

=====

(17)
# NdTm5In4, relaxed, DFT PBE
data_NdTm5In4
_space_group_name_H-M_alt 'P 4/m m m'
_space_group_IT_number 123
_space_group_name_Hall '-P 4 2'
_cell_length_a 3.5218
_cell_length_b 3.5218
_cell_length_c 21.7667
_cell_angle_alpha 90.00
_cell_angle_beta 90.00
_cell_angle_gamma 90.00
loop_
_atom_site_label
_atom_site_type_symbol
_atom_site_fract_x
_atom_site_fract_y
_atom_site_fract_z
Nd1 Nd 0.0000 0.0000 0.0000
Tm1 Tm 0.5000 0.5000 0.1186
Tm2 Tm 0.5000 0.5000 0.3084
Tm3 Tm 0.5000 0.5000 0.5000
In1 In 0.0000 0.0000 0.2129
In2 In 0.0000 0.0000 0.4042
# Formation energy from the elements   -3.5 eV/f.u.

=====

(18)
# KCuP2Pt4, relaxed, DFT PBE
data_KCuP2Pt4
_space_group_name_H-M_alt 'P 4/m m m'
_space_group_IT_number 123
_space_group_name_Hall '-P 4 2'
_cell_length_a 4.0351
_cell_length_b 4.0351
_cell_length_c 9.6641
_cell_angle_alpha 90.00
_cell_angle_beta 90.00
_cell_angle_gamma 90.00
loop_
_atom_site_label
_atom_site_type_symbol
_atom_site_fract_x
_atom_site_fract_y
_atom_site_fract_z
K1 K 0.0000 0.0000 0.0000
Cu1 Cu 0.0000 0.0000 0.5000
P1 P 0.5000 0.5000 0.2078
Pt1 Pt 0.0000 0.5000 0.3284
# Formation energy from the elements   -3.3 eV/f.u.

=====

(19)
# CsCr2Tc2, relaxed, DFT PBE
data_CsCr2Tc2
_space_group_name_H-M_alt 'P 4/m b m'
_space_group_IT_number 127
_space_group_name_Hall '-P 4 2ab'
_cell_length_a 7.9303
_cell_length_b 7.9303
_cell_length_c 2.9511
_cell_angle_alpha 90.00
_cell_angle_beta 90.00
_cell_angle_gamma 90.00
loop_
_atom_site_label
_atom_site_type_symbol
_atom_site_fract_x
_atom_site_fract_y
_atom_site_fract_z
Cs1 Cs 0.0000 0.0000 0.0000
Cr1 Cr 0.1255 0.3745 0.5000
Tc1 Tc 0.1357 0.6357 0.0000
# Energy above the most stable polymorph in this dataset   144 meV/atom
# Formation energy from the elements   5.2 eV/f.u.

=====

(20)
# Ce2NdZn8, relaxed, DFT PBE
data_Ce2NdZn8
_space_group_name_H-M_alt 'C 1 2/m 1'
_space_group_IT_number 12
_cell_length_a 7.8785
_cell_length_b 14.6477
_cell_length_c 4.8938
_cell_angle_alpha 90.00
_cell_angle_beta 128.30
_cell_angle_gamma 90.00
loop_
_space_group_symop_operation_xyz
'x,y,z'
'-x,-y,-z'
'-x,y,-z'
'x,-y,z'
'x+1/2,y+1/2,z'
'-x+1/2,-y+1/2,-z'
'-x+1/2,y+1/2,-z'
'x+1/2,-y+1/2,z'
loop_
_atom_site_label
_atom_site_type_symbol
_atom_site_fract_x
_atom_site_fract_y
_atom_site_fract_z
Ce1 Ce 0.0000 0.1929 0.0000
Nd1 Nd 0.0000 0.5000 0.5000
Zn1 Zn 0.0002 0.0000 0.2530
Zn2 Zn 0.0000 0.2991 0.5000
Zn3 Zn 0.2235 0.3794 0.2241
# Formation energy from the elements   -2.8 eV/f.u.